Record 1
Here is a relaxed SrTh5N6 crystal from Alexandria via LeMat-Bulk. Energies are from PBE-GGA. Values from VASP.

Geometry as Quantum ESPRESSO input:
```
&SYSTEM
  ibrav = 0, nat = 12, ntyp = 3
/
ATOMIC_SPECIES
Sr 87.62 Sr.upf
Th 232.04 Th.upf
N 14.01 N.upf
CELL_PARAMETERS angstrom
3.183 -5.510 0.000
3.183 5.510 0.000
-2.115 0.000 6.009
ATOMIC_POSITIONS angstrom
Sr 0.000 0.000 0.000
Th 2.126 3.687 3.004
Th 3.183 1.837 0.000
Th 2.126 0.000 3.004
Th 3.183 -1.837 0.000
Th 2.126 -3.687 3.004
N 1.115 1.924 1.565
N 0.113 0.000 4.482
N 1.115 -1.924 1.565
N 3.136 1.924 4.444
N 4.138 0.000 1.527
N 3.136 -1.924 4.444
```

Record 2
Here is a relaxed Sr3Th2N4 crystal from Alexandria via LeMat-Bulk. Energies are from PBE-GGA. Values from VASP.

Geometry as Quantum ESPRESSO input:
```
&SYSTEM
  ibrav = 0, nat = 9, ntyp = 3
/
ATOMIC_SPECIES
Sr 87.62 Sr.upf
Th 232.04 Th.upf
N 14.01 N.upf
CELL_PARAMETERS angstrom
6.358 -1.935 0.000
6.358 1.935 0.000
-5.002 0.000 7.946
ATOMIC_POSITIONS angstrom
Sr 0.000 0.000 0.000
Sr -1.545 0.000 6.442
Sr 9.260 0.000 1.504
Th 1.953 0.000 4.916
Th 5.762 0.000 3.030
N 0.760 0.000 2.688
N 4.660 0.000 1.009
N 3.055 0.000 6.937
N 6.955 0.000 5.258
```

Listing calculated density for the structures above in their given order: 10.5, 6.7 g cm⁻³.
Listing energy relative to the elements, uncorrected for the structures above in their given order: -17.46, -9.19 eV/f.u..